First-principles (GGA-PBE) data for a relaxed structure of TaFeIr2, as listed in Alexandria via LeMat-Bulk.

- Electronic total energy: -39.3 eV/cell
- Calculated volume: 59 Å³/cell
- Fermi-level density of states: 4.708 states/eV per cell

Cell and atoms, written as CIF:
```
data_TaFeIr2
_chemical_formula_sum 'Ta1 Fe1 Ir2'
_cell_length_a 2.856
_cell_length_b 2.856
_cell_length_c 7.287
_cell_angle_alpha 90.00
_cell_angle_beta 90.00
_cell_angle_gamma 90.00
_space_group_name_H-M_alt 'P 4/m m m'
_space_group_IT_number 123
_space_group_name_Hall '-P 4 2'
loop_
_atom_site_label
_atom_site_type_symbol
_atom_site_fract_x
_atom_site_fract_y
_atom_site_fract_z
Ta1 Ta 0.000 0.000 0.000
Fe1 Fe 0.000 0.000 0.500
Ir1 Ir 0.500 0.500 0.269
```